# 1
# ScCoRh3 PBE-GGA relaxed
data_ScCoRh3
_cell_length_a 4.5868
_cell_length_b 4.5868
_cell_length_c 4.5868
_cell_angle_alpha 90.00
_cell_angle_beta 90.00
_cell_angle_gamma 90.00
_symmetry_space_group_name_H-M 'P m -3 m'
_symmetry_Int_Tables_number 221
_symmetry_space_group_name_Hall '-P 4 2 3'
loop_
_atom_site_label
_atom_site_fract_x
_atom_site_fract_y
_atom_site_fract_z
Sc1 0.0000 0.0000 0.0000
Co1 0.5000 0.5000 0.5000
Rh1 0.0000 0.0000 0.5000
# Formation energy from the elements ... 1.135 eV/atom
# Crystal system ... cubic
# Energy above the most stable polymorph in this dataset ... 381 kJ/mol of formula units
# Calculated volume ... 19.30 Å³ per atom


# 2
# Sc4CoRh PBE-GGA relaxed
data_Sc4CoRh
_cell_length_a 7.6982
_cell_length_b 7.6982
_cell_length_c 7.6982
_cell_angle_alpha 90.00
_cell_angle_beta 90.00
_cell_angle_gamma 90.00
_symmetry_space_group_name_H-M 'F -4 3 m'
_symmetry_Int_Tables_number 216
_symmetry_space_group_name_Hall 'F -4 2 3'
loop_
_atom_site_label
_atom_site_fract_x
_atom_site_fract_y
_atom_site_fract_z
Sc1 0.1245 0.1245 0.3755
Co1 0.0000 0.0000 0.0000
Rh1 0.2500 0.2500 0.7500
# Formation energy from the elements ... 0.486 eV/atom
# Crystal system ... cubic
# Energy above the most stable polymorph in this dataset ... 554 kJ/mol of formula units
# Calculated volume ... 19.01 Å³ per atom


# 3
# Sc2CoRh PBE-GGA relaxed
data_Sc2CoRh
_cell_length_a 3.4875
_cell_length_b 3.4875
_cell_length_c 5.6341
_cell_angle_alpha 90.00
_cell_angle_beta 90.00
_cell_angle_gamma 90.00
_symmetry_space_group_name_H-M 'P 4 m m'
_symmetry_Int_Tables_number 99
_symmetry_space_group_name_Hall 'P 4 -2'
loop_
_atom_site_label
_atom_site_fract_x
_atom_site_fract_y
_atom_site_fract_z
Sc1 0.0000 0.0000 0.0000
Sc2 0.5000 0.5000 0.3630
Co1 0.0000 0.0000 0.5043
Rh1 0.5000 0.5000 0.8344
# Formation energy from the elements ... -0.314 eV/atom
# Crystal system ... tetragonal
# Calculated volume ... 17.13 Å³ per atom


# 4
# Sc4CoRh PBE-GGA relaxed
data_Sc4CoRh
_cell_length_a 6.2892
_cell_length_b 6.2923
_cell_length_c 6.2839
_cell_angle_alpha 90.00
_cell_angle_beta 92.30
_cell_angle_gamma 90.00
_symmetry_space_group_name_H-M 'P 1 21/c 1'
_symmetry_Int_Tables_number 14
_symmetry_space_group_name_Hall '-P 2ybc'
loop_
_atom_site_label
_atom_site_fract_x
_atom_site_fract_y
_atom_site_fract_z
Sc1 0.1569 0.1669 0.1757
Sc2 0.3286 0.6591 0.1496
Co1 0.0000 0.0000 0.5000
Rh1 0.5000 0.0000 0.0000
# Formation energy from the elements ... -0.381 eV/atom
# Crystal system ... monoclinic
# Energy above the most stable polymorph in this dataset ... 53 kJ/mol of formula units
# Calculated volume ... 20.71 Å³ per atom


# 5
# ScCoRh PBE-GGA relaxed
data_ScCoRh
_cell_length_a 2.9383
_cell_length_b 2.9383
_cell_length_c 6.1968
_cell_angle_alpha 90.00
_cell_angle_beta 90.00
_cell_angle_gamma 120.00
_symmetry_space_group_name_H-M 'P 3 m 1'
_symmetry_Int_Tables_number 156
_symmetry_space_group_name_Hall 'P 3 -2"'
loop_
_atom_site_label
_atom_site_fract_x
_atom_site_fract_y
_atom_site_fract_z
Sc1 0.0000 0.0000 0.0000
Co1 0.3333 0.6667 0.3331
Rh1 0.6667 0.3333 0.6591
# Formation energy from the elements ... 0.004 eV/atom
# Crystal system ... trigonal
# Energy above the most stable polymorph in this dataset ... 100 kJ/mol of formula units
# Calculated volume ... 15.44 Å³ per atom


# 6
# ScCo2Rh2 PBE-GGA relaxed
data_ScCo2Rh2
_cell_length_a 3.3527
_cell_length_b 3.3527
_cell_length_c 13.3592
_cell_angle_alpha 90.00
_cell_angle_beta 90.00
_cell_angle_gamma 90.00
_symmetry_space_group_name_H-M 'I 4/m m m'
_symmetry_Int_Tables_number 139
_symmetry_space_group_name_Hall '-I 4 2'
loop_
_atom_site_label
_atom_site_fract_x
_atom_site_fract_y
_atom_site_fract_z
Sc1 0.0000 0.0000 0.0000
Co1 0.0000 0.5000 0.2500
Rh1 0.0000 0.0000 0.3952
# Formation energy from the elements ... -0.122 eV/atom
# Crystal system ... tetragonal
# Energy above the most stable polymorph in this dataset ... 30 kJ/mol of formula units
# Calculated volume ... 15.02 Å³ per atom


# 7
# Sc2CoRh PBE-GGA relaxed
data_Sc2CoRh
_cell_length_a 4.2279
_cell_length_b 3.2507
_cell_length_c 9.8120
_cell_angle_alpha 90.00
_cell_angle_beta 90.00
_cell_angle_gamma 90.00
_symmetry_space_group_name_H-M 'A m m 2'
_symmetry_Int_Tables_number 38
_symmetry_space_group_name_Hall 'A 2 -2'
loop_
_atom_site_label
_atom_site_fract_x
_atom_site_fract_y
_atom_site_fract_z
Sc1 0.0000 0.0000 0.0000
Sc2 0.5000 0.0000 0.2890
Co1 0.5000 0.0000 0.5563
Rh1 0.0000 0.0000 0.7276
# Formation energy from the elements ... -0.512 eV/atom
# Crystal system ... orthorhombic
# Calculated volume ... 16.86 Å³ per atom


# 8
# ScCo2Rh2 PBE-GGA relaxed
data_ScCo2Rh2
_cell_length_a 7.1498
_cell_length_b 7.1498
_cell_length_c 2.8244
_cell_angle_alpha 90.00
_cell_angle_beta 90.00
_cell_angle_gamma 90.00
_symmetry_space_group_name_H-M 'P 4/m b m'
_symmetry_Int_Tables_number 127
_symmetry_space_group_name_Hall '-P 4 2ab'
loop_
_atom_site_label
_atom_site_fract_x
_atom_site_fract_y
_atom_site_fract_z
Sc1 0.0000 0.0000 0.0000
Co1 0.1681 0.3319 0.5000
Rh1 0.1308 0.6308 0.0000
# Formation energy from the elements ... -0.118 eV/atom
# Crystal system ... tetragonal
# Energy above the most stable polymorph in this dataset ... 32 kJ/mol of formula units
# Calculated volume ... 14.44 Å³ per atom